--- w ---
Compound: HgTeAs2
Source: Alexandria
Functional: GGA-PBE
Structure: optimized geometry

Unit cell a=7.5668 b=7.5668 c=7.5668 alpha=153.45 beta=147.17 gamma=42.71
Fractional positions:
As  0.9427  0.9427  0.0000
As  0.8184  0.3184  0.5000
Te  0.1955  0.6955  0.5000
Hg  0.5434  0.5434  0.0000

Total magnetization (μB/f.u.): 0.00
Calculated volume (Å³ per cell): 104.7

---

--- x ---
Compound: HgTeAs2
Source: Alexandria
Functional: GGA-PBE
Structure: optimized geometry

Unit cell a=5.0558 b=5.0558 c=5.0558 alpha=60.00 beta=60.00 gamma=60.00
Fractional positions:
As  0.2500  0.2500  0.2500
As  0.7500  0.7500  0.7500
Te  0.0000  0.0000  0.0000
Hg  0.5000  0.5000  0.5000

Total magnetization (μB/f.u.): 0.00
Calculated volume (Å³ per cell): 91.4

---

Which of them is the most stable? Correct choice: w.

---

--- w ---
Compound: K2LaSc
Source: Alexandria
Functional: GGA-PBE
Structure: optimized geometry

Unit cell a=8.0111 b=8.0111 c=8.0111 alpha=153.88 beta=126.40 gamma=60.57
Last column: magnetic moment on the atom in μB.
Fractional positions:
K  0.0171  0.0171  0.0000  0.00
K  0.7461  0.2461  0.5000  0.00
La  0.4629  0.4629  0.0000  0.12
Sc  0.2740  0.7740  0.5000  0.37

Total magnetization (μB/f.u.): 0.87
Calculated volume (Å³ per cell): 181.0

---

--- x ---
Compound: K2LaSc
Source: Alexandria
Functional: GGA-PBE
Structure: optimized geometry

Unit cell a=8.1374 b=8.1374 c=8.1374 alpha=153.56 beta=136.07 gamma=52.00
Fractional positions:
K  0.0249  0.0249  0.0000
K  0.4751  0.4751  0.0000
La  0.7500  0.2500  0.5000
Sc  0.2500  0.7500  0.5000

Total magnetization (μB/f.u.): 0.05
Calculated volume (Å³ per cell): 165.7

---

Which of them is the most stable? Correct choice: x.

---

--- w ---
Compound: SrCaY2
Source: Alexandria
Functional: GGA-PBE
Structure: optimized geometry

Unit cell a=3.8084 b=3.8084 c=10.7633 alpha=90.00 beta=90.00 gamma=90.00
Fractional positions:
Y  0.0000  0.0000  0.0293
Y  0.5000  0.5000  0.2331
Sr  0.5000  0.5000  0.7643
Ca  0.0000  0.0000  0.4734

Total magnetization (μB/f.u.): 0.00
Calculated volume (Å³ per cell): 156.1

---

--- x ---
Compound: SrCaY2
Source: Alexandria
Functional: GGA-PBE
Structure: optimized geometry

Unit cell a=12.7250 b=12.7250 c=12.7250 alpha=16.98 beta=16.98 gamma=16.98
Last column: magnetic moment on the atom in μB.
Fractional positions:
Y  0.9974  0.9974  0.9974  0.10
Y  0.5026  0.5026  0.5026  0.10
Sr  0.7500  0.7500  0.7500  0.03
Ca  0.2500  0.2500  0.2500  0.01

Total magnetization (μB/f.u.): 0.59
Calculated volume (Å³ per cell): 153.2

---

Which of them is the most stable? Correct choice: w.

---

--- w ---
Compound: CrP2W
Source: Alexandria
Functional: GGA-PBE
Structure: optimized geometry

Unit cell a=7.4163 b=7.4163 c=7.4163 alpha=22.71 beta=22.71 gamma=22.71
Fractional positions:
Cr  0.7500  0.7500  0.7500
P  0.0056  0.0056  0.0056
P  0.4944  0.4944  0.4944
W  0.2500  0.2500  0.2500

Total magnetization (μB/f.u.): 0.03
Calculated volume (Å³ per cell): 53.3

---

--- x ---
Compound: CrP2W
Source: Alexandria
Functional: GGA-PBE
Structure: optimized geometry

Unit cell a=2.9406 b=2.9406 c=5.8483 alpha=90.00 beta=90.00 gamma=90.00
Fractional positions:
Cr  0.5000  0.5000  0.7500
P  0.0000  0.0000  0.9860
P  0.0000  0.0000  0.5140
W  0.5000  0.5000  0.2500

Total magnetization (μB/f.u.): 0.00
Calculated volume (Å³ per cell): 50.6

---

Which of them is the most stable? Correct choice: x.